Entry 1:
Y2Rh | PBE-GGA | relaxed

Values from the calculation:
space group = Pa-3 (205)
formation energy from the elements = -1.8 eV/f.u.
density of states at the Fermi level = 7.2 states/eV/cell

Cell and atoms, written as POSCAR:
```
Y2Rh
1.0
6.855 0.000 0.000
0.000 6.855 0.000
0.000 0.000 6.855
Y Rh
8 4
Direct
0.164 0.164 0.164 Y
0.164 0.336 0.664 Y
0.336 0.664 0.164 Y
0.336 0.836 0.664 Y
0.664 0.164 0.336 Y
0.664 0.336 0.836 Y
0.836 0.664 0.336 Y
0.836 0.836 0.836 Y
0.000 0.000 0.500 Rh
0.000 0.500 0.000 Rh
0.500 0.000 0.000 Rh
0.500 0.500 0.500 Rh
```


Entry 2:
Ce3DyTe6 | PBE-GGA | relaxed

Values from the calculation:
space group = P2_1/c (14)
density of states at the Fermi level = 42.5 states/eV/cell
E_form (uncorrected) = -1318 meV/atom

Cell and atoms, written as POSCAR:
```
Ce3DyTe6
1.0
7.449 0.000 0.000
0.000 8.376 0.000
-7.191 0.000 11.240
Ce Dy Te
6 2 12
Direct
0.000 0.000 0.000 Ce
0.000 0.500 0.500 Ce
0.306 0.119 0.755 Ce
0.306 0.381 0.255 Ce
0.694 0.619 0.745 Ce
0.694 0.881 0.245 Ce
0.500 0.000 0.500 Dy
0.500 0.500 0.000 Dy
0.092 0.053 0.255 Te
0.092 0.447 0.755 Te
0.241 0.674 0.079 Te
0.241 0.826 0.579 Te
0.418 0.179 0.075 Te
0.418 0.321 0.575 Te
0.582 0.679 0.425 Te
0.582 0.821 0.925 Te
0.759 0.174 0.421 Te
0.759 0.326 0.921 Te
0.908 0.553 0.245 Te
0.908 0.947 0.745 Te
```


Entry 3:
Bi2PtI2 | PBE-GGA | relaxed

Values from the calculation:
space group = I4/mmm (139)
density of states at the Fermi level = 4.1 states/eV/cell
E_form (uncorrected) = 735 meV/atom

Cell and atoms, written as POSCAR:
```
Bi2PtI2
1.0
-2.158 2.158 8.962
2.158 -2.158 8.962
2.158 2.158 -8.962
Bi Pt I
2 1 2
Direct
0.250 0.750 0.500 Bi
0.750 0.250 0.500 Bi
0.000 0.000 0.000 Pt
0.407 0.407 0.000 I
0.593 0.593 0.000 I
```


Entry 4:
CuIrSe | PBE-GGA | relaxed

Values from the calculation:
space group = P3m1 (156)
E_form (uncorrected) = 262 meV/atom

Cell and atoms, written as POSCAR:
```
CuIrSe
1.0
3.374 0.000 0.000
-1.687 2.922 0.000
0.000 0.000 5.551
Cu Ir Se
1 1 1
Direct
0.000 0.000 0.000 Cu
0.667 0.333 0.302 Ir
0.333 0.667 0.559 Se
```


Entry 5:
LiFe2Ru2 | PBE-GGA | relaxed

Values from the calculation:
space group = P4/mbm (127)
formation energy from the elements = 1.2 eV/f.u.
density of states at the Fermi level = 12.2 states/eV/cell

Cell and atoms, written as POSCAR:
```
LiFe2Ru2
1.0
7.114 0.000 0.000
0.000 7.114 0.000
0.000 0.000 2.598
Li Fe Ru
2 4 4
Direct
0.000 0.000 0.000 Li
0.500 0.500 0.000 Li
0.119 0.381 0.000 Fe
0.381 0.881 0.000 Fe
0.619 0.119 0.000 Fe
0.881 0.619 0.000 Fe
0.172 0.672 0.500 Ru
0.328 0.172 0.500 Ru
0.672 0.828 0.500 Ru
0.828 0.328 0.500 Ru
```


Entry 6:
TbNd2NpSb4 | PBE-GGA | relaxed

Values from the calculation:
space group = P2/m (10)
density of states at the Fermi level = 11.9 states/eV/cell
E_form (uncorrected) = -922 meV/atom

Cell and atoms, written as POSCAR:
```
TbNd2NpSb4
1.0
7.727 0.000 0.000
0.000 4.462 0.000
-2.560 0.000 7.294
Tb Nd Np Sb
1 2 1 4
Direct
0.000 0.000 0.000 Tb
0.000 0.500 0.500 Nd
0.500 0.000 0.500 Nd
0.500 0.500 0.000 Np
0.248 0.500 0.241 Sb
0.253 0.000 0.758 Sb
0.747 0.000 0.242 Sb
0.752 0.500 0.759 Sb
```


Entry 7:
KH8Rh2 | PBE-GGA | relaxed

Values from the calculation:
space group = C2/m (12)
density of states at the Fermi level = 2.0 states/eV/cell
E = -3.969 eV/atom

Cell and atoms, written as POSCAR:
```
KH8Rh2
1.0
2.718 -4.503 0.000
2.718 4.503 0.000
-0.001 0.000 3.645
K H Rh
1 8 2
Direct
0.000 0.000 0.000 K
0.024 0.342 0.500 H
0.313 0.687 0.000 H
0.342 0.024 0.500 H
0.497 0.497 0.280 H
0.503 0.503 0.720 H
0.658 0.976 0.500 H
0.687 0.313 0.000 H
0.976 0.658 0.500 H
0.326 0.674 0.500 Rh
0.674 0.326 0.500 Rh
```


Entry 8:
LiLa2Hg6 | PBE-GGA | relaxed

Values from the calculation:
space group = C2/m (12)
formation energy from the elements = -3.7 eV/f.u.
density of states at the Fermi level = 5.3 states/eV/cell

Cell and atoms, written as POSCAR:
```
LiLa2Hg6
1.0
6.196 -3.377 0.000
6.196 3.377 0.000
-0.479 0.000 5.429
Li La Hg
1 2 6
Direct
0.000 0.000 0.000 Li
0.342 0.342 0.795 La
0.658 0.658 0.205 La
0.152 0.660 0.300 Hg
0.190 0.190 0.264 Hg
0.340 0.848 0.700 Hg
0.660 0.152 0.300 Hg
0.810 0.810 0.736 Hg
0.848 0.340 0.700 Hg
```